TlHg2I8 | GGA-PBE | relaxed

Lattice parameters (Å, degrees): 8.8371 8.8371 6.9968 94.38 94.38 92.00
Element x y z (fractional)
Tl  0.0000  0.0000  0.0000
Hg  0.2408  0.2408  0.6571
Hg  0.7592  0.7592  0.3429
I  0.0587  0.7201  0.2202
I  0.2221  0.2221  0.2497
I  0.2799  0.9413  0.7798
I  0.4732  0.4732  0.7559
I  0.5268  0.5268  0.2441
I  0.7201  0.0587  0.2202
I  0.7779  0.7779  0.7503
I  0.9413  0.2799  0.7798

## Properties
uncorrected energy: -0.1153 Ry/atom
N(E_F): 3.434 states/eV/cell

=====

Tl3Hg2I8 | GGA-PBE | relaxed

Lattice parameters (Å, degrees): 10.3654 10.3654 10.3654 50.79 50.79 50.79
Element x y z (fractional)
Tl  0.0000  0.0000  0.0000
Tl  0.1864  0.1864  0.1864
Tl  0.8136  0.8136  0.8136
Hg  0.4081  0.4081  0.4081
Hg  0.5919  0.5919  0.5919
I  0.2094  0.7462  0.7462
I  0.2538  0.2538  0.7906
I  0.2538  0.7906  0.2538
I  0.3019  0.3019  0.3019
I  0.6981  0.6981  0.6981
I  0.7462  0.2094  0.7462
I  0.7462  0.7462  0.2094
I  0.7906  0.2538  0.2538

## Properties
uncorrected energy: -0.1385 Ry/atom
E above lowest polymorph: 51 meV/atom
N(E_F): 9.965 states/eV/cell

=====

Tl3Hg2I8 | GGA-PBE | relaxed

Lattice parameters (Å, degrees): 9.3562 9.3562 8.0847 107.00 107.00 65.21
Element x y z (fractional)
Tl  0.0000  0.0000  0.0000
Tl  0.2723  0.7277  0.5000
Tl  0.7277  0.2723  0.5000
Hg  0.3250  0.3250  0.8825
Hg  0.6750  0.6750  0.1175
I  0.1234  0.1234  0.7060
I  0.1290  0.6069  0.7491
I  0.3501  0.3501  0.2477
I  0.3931  0.8710  0.2509
I  0.6069  0.1290  0.7491
I  0.6499  0.6499  0.7523
I  0.8710  0.3931  0.2509
I  0.8766  0.8766  0.2940

## Properties
uncorrected energy: -0.1422 Ry/atom
E above lowest polymorph: 0 meV/atom
N(E_F): 8.873 states/eV/cell

=====

TlHgI3 | GGA-PBE | relaxed

Lattice parameters (Å, degrees): 8.5577 8.4464 14.0709 90.00 120.02 90.00
Element x y z (fractional)
Tl  0.1456  0.0997  0.2058
Tl  0.1456  0.4003  0.7058
Tl  0.8544  0.5997  0.2942
Tl  0.8544  0.9003  0.7942
Hg  0.2609  0.5614  0.0741
Hg  0.2609  0.9386  0.5741
Hg  0.7391  0.0614  0.4259
Hg  0.7391  0.4386  0.9259
I  0.0590  0.2442  0.4414
I  0.0590  0.2558  0.9414
I  0.2983  0.7142  0.9155
I  0.2983  0.7858  0.4155
I  0.4436  0.0609  0.7818
I  0.4436  0.4391  0.2818
I  0.5564  0.5609  0.7182
I  0.5564  0.9391  0.2182
I  0.7017  0.2142  0.5845
I  0.7017  0.2858  0.0845
I  0.9410  0.7442  0.0586
I  0.9410  0.7558  0.5586

## Properties
uncorrected energy: -0.1390 Ry/atom
E above lowest polymorph: 0 meV/atom
N(E_F): 0.000 states/eV/cell

=====

Tl2Hg2I | GGA-PBE | relaxed

Lattice parameters (Å, degrees): 9.1316 9.1316 4.1954 90.00 90.00 90.00
Element x y z (fractional)
Tl  0.1752  0.3248  0.0000
Tl  0.3248  0.8248  0.0000
Tl  0.6752  0.1752  0.0000
Tl  0.8248  0.6752  0.0000
Hg  0.1302  0.6302  0.5000
Hg  0.3698  0.1302  0.5000
Hg  0.6302  0.8698  0.5000
Hg  0.8698  0.3698  0.5000
I  0.0000  0.0000  0.0000
I  0.5000  0.5000  0.0000

## Properties
uncorrected energy: -0.1147 Ry/atom
E above lowest polymorph: 0 meV/atom
N(E_F): 3.281 states/eV/cell

=====

Tl4HgI3 | GGA-PBE | relaxed

Lattice parameters (Å, degrees): 17.6030 17.6030 17.6030 15.26 15.26 15.26
Element x y z (fractional)
Tl  0.1239  0.1239  0.1239
Tl  0.3713  0.3713  0.3713
Tl  0.6287  0.6287  0.6287
Tl  0.8761  0.8761  0.8761
Hg  0.0000  0.0000  0.0000
I  0.2526  0.2526  0.2526
I  0.5000  0.5000  0.5000
I  0.7474  0.7474  0.7474

## Properties
uncorrected energy: -0.1639 Ry/atom
N(E_F): 1.808 states/eV/cell